K2NbPbO5: relaxed, PBE.

Lattice parameters (Å, degrees): 3.234 8.074 11.919 90.00 90.00 101.55
Fractional coordinates of all 18 atoms:
K  0.872  0.744  0.761
K  0.126  0.252  0.732
K  0.128  0.256  0.261
K  0.874  0.748  0.232
Nb  0.760  0.521  0.507
Nb  0.240  0.479  0.007
Pb  0.511  0.023  0.975
Pb  0.489  0.977  0.475
O  0.357  0.715  0.014
O  0.728  0.456  0.898
O  0.502  0.005  0.801
O  0.271  0.543  0.615
O  0.899  0.798  0.520
O  0.643  0.285  0.514
O  0.272  0.544  0.398
O  0.498  0.995  0.301
O  0.729  0.457  0.115
O  0.101  0.202  0.020

ΔE_f (raw)   -1.72 eV per atom
Space group   Cmc2_1
Crystal system   orthorhombic

K2NbPdO4: relaxed, PBE.

Lattice parameters (Å, degrees): 5.718 5.718 5.718 104.16 112.19 112.19
Last column: magnetic moment on the atom in μB.
Fractional coordinates of all 8 atoms:
K  0.500  0.750  0.250  0.00
K  0.000  0.000  0.000  0.00
Nb  0.500  0.250  0.750  0.07
Pd  0.000  0.500  0.500  0.71
O  0.550  0.280  0.448  0.04
O  0.168  0.271  0.720  0.04
O  0.832  0.552  0.103  0.04
O  0.450  0.897  0.729  0.04

ΔE_f (raw)   -1.70 eV per atom
Space group   I-4
Crystal system   tetragonal

K2NbPd2O6: relaxed, PBE.

Lattice parameters (Å, degrees): 5.484 5.484 6.815 102.40 102.40 113.23
Last column: magnetic moment on the atom in μB.
Fractional coordinates of all 11 atoms:
K  0.820  0.180  0.000  0.00
K  0.180  0.820  0.000  0.00
Nb  0.000  0.000  0.500  -0.01
Pd  0.332  0.668  0.500  0.31
Pd  0.668  0.332  0.500  0.31
O  0.743  0.743  0.653  0.04
O  0.024  0.346  0.692  0.06
O  0.257  0.257  0.347  0.04
O  0.346  0.024  0.692  0.06
O  0.976  0.654  0.308  0.06
O  0.654  0.976  0.308  0.06

ΔE_f (raw)   -1.34 eV per atom
Space group   C2/m
Crystal system   monoclinic

KNbPdO4: relaxed, PBE.

Lattice parameters (Å, degrees): 5.891 7.250 6.145 115.08 90.00 113.97
Fractional coordinates of all 14 atoms:
K  0.832  0.663  0.082
K  0.168  0.337  0.918
Nb  0.500  0.000  0.500
Nb  0.500  0.000  0.000
Pd  0.500  0.500  0.500
Pd  0.000  0.500  0.500
O  0.677  0.355  0.633
O  0.270  0.976  0.238
O  0.706  0.976  0.238
O  0.677  0.355  0.221
O  0.323  0.645  0.779
O  0.730  0.024  0.762
O  0.294  0.024  0.762
O  0.323  0.645  0.367

ΔE_f (raw)   -1.66 eV per atom
Space group   Imma
Crystal system   orthorhombic

K3Pm3NbO8: relaxed, PBE.

Lattice parameters (Å, degrees): 7.028 7.028 7.494 117.96 90.00 120.00
Last column: magnetic moment on the atom in μB.
Fractional coordinates of all 15 atoms:
K  0.000  0.000  0.000  0.00
K  0.000  0.500  0.000  0.00
K  0.500  0.500  0.000  0.00
Pm  0.500  0.000  0.500  0.02
Pm  0.500  0.500  0.500  0.02
Pm  0.000  0.500  0.500  0.02
Nb  0.000  0.000  0.500  0.72
O  0.269  0.539  0.308  0.01
O  0.731  0.461  0.692  0.01
O  0.792  0.583  0.328  0.01
O  0.208  0.417  0.672  0.01
O  0.792  0.036  0.328  0.01
O  0.208  0.964  0.672  0.01
O  0.245  0.036  0.328  0.01
O  0.755  0.964  0.672  0.01

ΔE_f (raw)   -2.60 eV per atom
Space group   R-3m
Crystal system   trigonal

K2PmNb2O7: relaxed, PBE.

Lattice parameters (Å, degrees): 4.039 4.039 11.309 79.72 79.72 90.00
Fractional coordinates of all 12 atoms:
K  0.808  0.808  0.384
K  0.192  0.192  0.616
Pm  0.000  0.000  0.000
Nb  0.596  0.596  0.809
Nb  0.404  0.404  0.191
O  0.500  0.500  0.000
O  0.318  0.318  0.364
O  0.682  0.682  0.636
O  0.920  0.420  0.160
O  0.420  0.920  0.160
O  0.580  0.080  0.840
O  0.080  0.580  0.840

ΔE_f (raw)   -2.57 eV per atom
Space group   I4/mmm
Crystal system   tetragonal

K2PrNb5O15: relaxed, PBE.

Lattice parameters (Å, degrees): 12.799 12.799 3.969 90.00 90.00 90.00
Fractional coordinates of all 46 atoms:
K  0.671  0.171  0.500
K  0.329  0.829  0.500
K  0.171  0.329  0.500
K  0.829  0.671  0.500
Pr  0.000  0.000  0.500
Pr  0.500  0.500  0.500
Nb  0.500  0.000  0.000
Nb  0.000  0.500  0.000
Nb  0.213  0.076  0.000
Nb  0.787  0.924  0.000
Nb  0.076  0.787  0.000
Nb  0.713  0.424  0.000
Nb  0.924  0.213  0.000
Nb  0.287  0.576  0.000
Nb  0.576  0.713  0.000
Nb  0.424  0.287  0.000
O  0.191  0.079  0.500
O  0.809  0.921  0.500
O  0.079  0.809  0.500
O  0.691  0.421  0.500
O  0.921  0.191  0.500
O  0.309  0.579  0.500
O  0.579  0.691  0.500
O  0.421  0.309  0.500
O  0.216  0.716  0.000
O  0.784  0.284  0.000
O  0.716  0.784  0.000
O  0.284  0.216  0.000
O  0.500  0.000  0.500
O  0.000  0.500  0.500
O  0.060  0.133  0.000
O  0.940  0.867  0.000
O  0.133  0.940  0.000
O  0.560  0.367  0.000
O  0.867  0.060  0.000
O  0.440  0.633  0.000
O  0.633  0.560  0.000
O  0.367  0.440  0.000
O  0.343  0.999  0.000
O  0.657  0.001  0.000
O  0.999  0.657  0.000
O  0.843  0.501  0.000
O  0.001  0.343  0.000
O  0.157  0.499  0.000
O  0.499  0.843  0.000
O  0.501  0.157  0.000

ΔE_f (raw)   -2.64 eV per atom
Space group   P4/mbm
Crystal system   tetragonal

KPrNb4O12: relaxed, PBE.

Lattice parameters (Å, degrees): 5.755 5.755 7.954 90.00 90.00 93.11
Fractional coordinates of all 18 atoms:
K  0.995  0.005  0.000
Pr  0.446  0.554  0.500
Nb  0.974  0.514  0.752
Nb  0.974  0.514  0.248
Nb  0.486  0.026  0.248
Nb  0.486  0.026  0.752
O  0.290  0.271  0.734
O  0.729  0.710  0.734
O  0.729  0.710  0.266
O  0.290  0.271  0.266
O  0.778  0.222  0.745
O  0.249  0.751  0.737
O  0.249  0.751  0.263
O  0.778  0.222  0.255
O  0.006  0.502  0.000
O  0.024  0.489  0.500
O  0.498  0.994  0.000
O  0.511  0.976  0.500

ΔE_f (raw)   -2.64 eV per atom
Space group   Amm2
Crystal system   orthorhombic

KSrPrNbO6: relaxed, PBE.

Lattice parameters (Å, degrees): 6.161 6.161 6.161 60.00 60.00 60.00
Last column: magnetic moment on the atom in μB.
Fractional coordinates of all 10 atoms:
K  0.250  0.250  0.250  0.00
Sr  0.750  0.750  0.750  -0.01
Pr  0.500  0.500  0.500  -0.02
Nb  0.000  0.000  0.000  -0.07
O  0.231  0.769  0.231  0.16
O  0.769  0.231  0.769  0.16
O  0.231  0.769  0.769  0.16
O  0.769  0.231  0.231  0.16
O  0.231  0.231  0.769  0.16
O  0.769  0.769  0.231  0.16

ΔE_f (raw)   -2.49 eV per atom
Space group   F-43m
Crystal system   cubic

KPrYNbO6: relaxed, PBE.

Lattice parameters (Å, degrees): 5.947 5.947 5.947 60.00 60.00 60.00
Fractional coordinates of all 10 atoms:
K  0.250  0.250  0.250
Pr  0.750  0.750  0.750
Y  0.500  0.500  0.500
Nb  0.000  0.000  0.000
O  0.238  0.762  0.238
O  0.762  0.238  0.762
O  0.238  0.762  0.762
O  0.762  0.238  0.238
O  0.238  0.238  0.762
O  0.762  0.762  0.238

ΔE_f (raw)   -2.75 eV per atom
Space group   F-43m
Crystal system   cubic

KPuNbO6: relaxed, PBE.

Lattice parameters (Å, degrees): 5.566 5.566 11.714 90.00 90.00 120.00
Last column: magnetic moment on the atom in μB.
Fractional coordinates of all 18 atoms:
K  0.000  0.000  0.000  0.00
K  0.000  0.000  0.500  0.00
Pu  0.333  0.667  0.250  2.42
Pu  0.667  0.333  0.750  2.42
Nb  0.667  0.333  0.250  0.04
Nb  0.333  0.667  0.750  0.04
O  0.620  0.614  0.157  -0.07
O  0.994  0.380  0.157  -0.07
O  0.380  0.994  0.657  -0.07
O  0.006  0.620  0.843  -0.07
O  0.386  0.380  0.343  -0.07
O  0.994  0.614  0.343  -0.07
O  0.614  0.994  0.843  -0.07
O  0.620  0.006  0.343  -0.07
O  0.006  0.386  0.657  -0.07
O  0.386  0.006  0.157  -0.07
O  0.614  0.620  0.657  -0.07
O  0.380  0.386  0.843  -0.07

ΔE_f (raw)   -2.44 eV per atom
Space group   P-31c
Crystal system   trigonal

K3PuNb2O9: relaxed, PBE.

Lattice parameters (Å, degrees): 5.839 5.839 7.170 90.00 90.00 120.00
Last column: magnetic moment on the atom in μB.
Fractional coordinates of all 15 atoms:
K  0.333  0.667  0.668  0.00
K  0.000  0.000  0.000  0.00
K  0.667  0.333  0.332  0.00
Pu  0.000  0.000  0.500  3.29
Nb  0.333  0.667  0.160  0.04
Nb  0.667  0.333  0.840  0.04
O  0.829  0.171  0.674  -0.07
O  0.829  0.657  0.674  -0.07
O  0.343  0.171  0.674  -0.07
O  0.657  0.829  0.326  -0.07
O  0.171  0.343  0.326  -0.07
O  0.171  0.829  0.326  -0.07
O  0.500  0.000  0.000  -0.01
O  0.000  0.500  0.000  -0.01
O  0.500  0.500  0.000  -0.01

ΔE_f (raw)   -2.46 eV per atom
Space group   P-3m1
Crystal system   trigonal

K4PuNb3O12: relaxed, PBE.

Lattice parameters (Å, degrees): 7.126 7.126 7.126 109.47 109.47 109.47
Last column: magnetic moment on the atom in μB.
Fractional coordinates of all 20 atoms:
K  0.500  0.500  0.500  0.00
K  0.000  0.000  0.500  0.00
K  0.500  0.000  0.000  0.00
K  0.000  0.500  0.000  0.00
Pu  0.000  0.000  0.000  3.22
Nb  0.500  0.000  0.500  0.03
Nb  0.500  0.500  0.000  0.03
Nb  0.000  0.500  0.500  0.03
O  0.250  0.500  0.750  0.00
O  0.743  0.000  0.743  -0.06
O  0.257  0.000  0.257  -0.06
O  0.750  0.500  0.250  0.00
O  0.743  0.743  0.000  -0.06
O  0.257  0.257  0.000  -0.06
O  0.750  0.250  0.500  0.00
O  0.250  0.750  0.500  0.00
O  0.500  0.250  0.750  0.00
O  0.000  0.743  0.743  -0.06
O  0.500  0.750  0.250  0.00
O  0.000  0.257  0.257  -0.06

ΔE_f (raw)   -2.44 eV per atom
Space group   Im-3m
Crystal system   cubic

K2PuNbO6: relaxed, PBE.

Lattice parameters (Å, degrees): 5.898 5.899 8.343 90.00 90.00 90.00
Last column: magnetic moment on the atom in μB.
Fractional coordinates of all 20 atoms:
K  0.500  0.750  0.250  0.00
K  0.000  0.250  0.750  0.00
K  0.500  0.750  0.750  0.00
K  0.000  0.250  0.250  0.00
Pu  0.000  0.750  0.500  3.32
Pu  0.500  0.250  0.000  3.32
Nb  0.500  0.250  0.500  0.08
Nb  0.000  0.750  0.000  0.08
O  0.500  0.250  0.257  -0.07
O  0.500  0.250  0.743  -0.07
O  0.000  0.750  0.243  -0.07
O  0.000  0.750  0.757  -0.07
O  0.257  0.007  0.500  -0.07
O  0.743  0.007  0.500  -0.07
O  0.257  0.493  0.500  -0.07
O  0.743  0.493  0.500  -0.07
O  0.757  0.507  0.000  -0.07
O  0.243  0.507  0.000  -0.07
O  0.243  0.993  0.000  -0.07
O  0.757  0.993  0.000  -0.07

ΔE_f (raw)   -2.48 eV per atom
Space group   Fm-3m
Crystal system   cubic

KPu2NbO8: relaxed, PBE.

Lattice parameters (Å, degrees): 5.056 5.047 6.952 90.00 90.00 87.96
Last column: magnetic moment on the atom in μB.
Fractional coordinates of all 12 atoms:
K  0.000  0.000  0.500  0.00
Pu  0.500  0.500  0.754  3.45
Pu  0.500  0.500  0.246  3.45
Nb  0.000  0.000  0.000  0.10
O  0.202  0.796  0.201  -0.10
O  0.705  0.707  0.000  -0.11
O  0.798  0.204  0.201  -0.10
O  0.798  0.204  0.799  -0.10
O  0.295  0.293  0.000  -0.11
O  0.202  0.796  0.799  -0.10
O  0.661  0.665  0.500  -0.19
O  0.339  0.335  0.500  -0.19

ΔE_f (raw)   -2.49 eV per atom
Space group   P2/m
Crystal system   monoclinic

KRbNb2O: relaxed, PBE.

Lattice parameters (Å, degrees): 4.848 6.249 4.848 90.00 90.00 90.00
Last column: magnetic moment on the atom in μB.
Fractional coordinates of all 5 atoms:
O  0.500  0.500  0.500  0.44
Nb  0.000  0.000  0.500  0.46
Nb  0.500  0.000  0.000  0.46
K  0.000  0.500  0.000  0.01
Rb  0.000  0.000  0.000  0.03

ΔE_f (raw)   2.73 eV per atom
Space group   P4/mmm
Crystal system   tetragonal

KRb2Nb2O7: relaxed, PBE.

Lattice parameters (Å, degrees): 4.101 4.101 11.765 80.24 80.24 89.90
Last column: magnetic moment on the atom in μB.
Fractional coordinates of all 12 atoms:
K  0.000  0.000  0.000  0.00
Rb  0.806  0.806  0.381  0.00
Rb  0.194  0.194  0.619  0.00
Nb  0.611  0.611  0.813  -0.06
Nb  0.389  0.389  0.187  -0.06
O  0.500  0.500  0.000  0.36
O  0.329  0.329  0.352  0.05
O  0.671  0.671  0.648  0.05
O  0.916  0.416  0.177  0.12
O  0.416  0.916  0.177  0.12
O  0.584  0.084  0.823  0.12
O  0.084  0.584  0.823  0.12

ΔE_f (raw)   -2.17 eV per atom
Space group   C2/m
Crystal system   monoclinic

KRbNb2O6: relaxed, PBE.

Lattice parameters (Å, degrees): 6.575 8.375 8.375 88.60 77.86 77.86
Fractional coordinates of all 20 atoms:
K  0.250  0.270  0.730
K  0.750  0.730  0.270
Rb  0.250  0.901  0.099
Rb  0.750  0.099  0.901
Nb  0.277  0.781  0.621
Nb  0.223  0.379  0.219
Nb  0.723  0.219  0.379
Nb  0.777  0.621  0.781
O  0.191  0.956  0.761
O  0.309  0.239  0.044
O  0.809  0.044  0.239
O  0.691  0.761  0.956
O  0.335  0.854  0.416
O  0.165  0.584  0.146
O  0.665  0.146  0.584
O  0.835  0.416  0.854
O  0.046  0.659  0.648
O  0.454  0.352  0.341
O  0.954  0.341  0.352
O  0.546  0.648  0.659

ΔE_f (raw)   -2.37 eV per atom
Space group   C2/c
Crystal system   monoclinic